A plane-wave DFT calculation with PBE with a Hubbard U was carried out for a relaxed structure of Li11Ni13O24.

* SG: No. 12
* crystal system: monoclinic
* size of the total moment: 15.000 μB/cell
* raw total energy: -4.86 eV per atom

Unit cell a=7.699 b=7.699 c=9.710 alpha=120.99 beta=120.99 gamma=69.10
Fractional coordinates of all 48 atoms:
Li1 0.000 0.000 0.000
Li2 0.083 0.413 0.247
Li3 0.165 0.835 0.500
Li4 0.250 0.250 0.746
Li5 0.334 0.666 0.000
Li6 0.413 0.083 0.247
Li7 0.587 0.917 0.753
Li8 0.666 0.334 0.000
Li9 0.750 0.750 0.254
Li10 0.835 0.165 0.500
Li11 0.917 0.587 0.753
Ni1 0.039 0.708 0.125
Ni2 0.124 0.124 0.372
Ni3 0.207 0.543 0.625
Ni4 0.292 0.961 0.875
Ni5 0.375 0.375 0.125
Ni6 0.457 0.793 0.375
Ni7 0.500 0.500 0.500
Ni8 0.543 0.207 0.625
Ni9 0.625 0.625 0.875
Ni10 0.708 0.039 0.125
Ni11 0.793 0.457 0.375
Ni12 0.876 0.876 0.628
Ni13 0.961 0.292 0.875
O1 0.029 0.342 0.546
O2 0.072 0.072 0.709
O3 0.100 0.784 0.803
O4 0.142 0.486 0.952
O5 0.200 0.200 0.061
O6 0.216 0.900 0.197
O7 0.277 0.600 0.312
O8 0.319 0.319 0.442
O9 0.342 0.029 0.546
O10 0.400 0.723 0.688
O11 0.448 0.448 0.810
O12 0.486 0.142 0.952
O13 0.514 0.858 0.048
O14 0.552 0.552 0.190
O15 0.600 0.277 0.312
O16 0.658 0.971 0.454
O17 0.681 0.681 0.558
O18 0.723 0.400 0.688
O19 0.784 0.100 0.803
O20 0.800 0.800 0.939
O21 0.858 0.514 0.048
O22 0.900 0.216 0.197
O23 0.928 0.928 0.291
O24 0.971 0.658 0.454